Entry 1:
A relaxed BeFeH2 crystal. Source: Alexandria, functional PBE.

Cell: 3.175 3.175 3.175 Å, 60.00 60.00 60.00°
Positions (direct):
Be1 0.000 0.000 0.000
Fe1 0.500 0.500 0.500
H1 0.250 0.250 0.250
H2 0.750 0.750 0.750

* symmetry: Fm-3m
* Fermi-level density of states: 0.16 states/eV/f.u.
* VASP energy: -4.32 eV/atom
* polymorph energy (0 for the lowest one): 271 meV/atom

---

Entry 2:
A relaxed BeFeH2 crystal. Source: Alexandria, functional PBE.

Cell: 4.371 4.371 4.371 Å, 35.27 35.27 35.27°
Positions (direct):
Be1 0.000 0.000 0.000
Fe1 0.188 0.188 0.188
H1 0.589 0.589 0.589
H2 0.781 0.781 0.781

* symmetry: R3m
* Fermi-level density of states: 2.35 states/eV/f.u.
* VASP energy: -4.55 eV/atom
* polymorph energy (0 for the lowest one): 48 meV/atom